[1]
A relaxed structure of SrLiZn4, computed with PBE.

Energy of formation ... -0.059 eV per atom
Energy relative to the lowest polymorph listed for this composition ... 2.550 kcal/mol of atoms
Theoretical density ... 4.45 g/cm3
Final energy ... -72.4 eV/cell

Cell: 9.525 9.525 11.728 Å, 90.00 90.00 90.00°
Space group I4/mmm (No. 139)
Inequivalent atoms, fractional coordinates:
Sr 0.000 0.000 0.164
Sr 0.000 0.500 0.250
Li 0.000 0.188 0.500
Zn 0.125 0.312 0.000
Zn 0.192 0.192 0.332

---

[2]
A relaxed structure of Sr4Li5Zn, computed with PBE.

Energy of formation ... -0.023 eV per atom
Theoretical density ... 2.24 g/cm3
Final energy ... -35.6 eV/cell

Cell: 10.722 10.722 5.809 Å, 90.00 90.00 90.00°
Space group I4mm (No. 107)
Inequivalent atoms, fractional coordinates:
Sr 0.000 0.289 0.000
Li 0.000 0.000 0.727
Li 0.163 0.163 0.483
Zn 0.000 0.000 0.242

---

[3]
A relaxed structure of Sr3Li4Zn4, computed with PBE.

Energy of formation ... -0.123 eV per atom
Theoretical density ... 3.27 g/cm3
Final energy ... -38.3 eV/cell

Cell: 4.808 7.501 15.552 Å, 90.00 90.00 90.00°
Space group Immm (No. 71)
Inequivalent atoms, fractional coordinates:
Sr 0.000 0.000 0.000
Sr 0.000 0.500 0.130
Li 0.000 0.309 0.328
Zn 0.000 0.000 0.216
Zn 0.000 0.171 0.500

---

[4]
A relaxed structure of Sr3LiZn, computed with PBE.

Energy of formation ... 0.065 eV per atom
Energy relative to the lowest polymorph listed for this composition ... 2.835 kcal/mol of atoms
Theoretical density ... 2.37 g/cm3
Final energy ... -7.9 eV/cell

Cell: 6.166 6.166 6.166 Å, 90.00 90.00 90.00°
Space group Pm-3m (No. 221)
Inequivalent atoms, fractional coordinates:
Sr 0.000 0.000 0.500
Li 0.500 0.500 0.500
Zn 0.000 0.000 0.000

---

[5]
A relaxed structure of SrLiZn2, computed with PBE.

Energy of formation ... -0.179 eV per atom
Energy relative to the lowest polymorph listed for this composition ... 0.031 kcal/mol of atoms
Theoretical density ... 3.89 g/cm3
Final energy ... -20.6 eV/cell

Cell: 4.4528 4.4528 16.7842 Å, 90.00 90.00 120.00°
Space group R3m (No. 160, hexagonal axes)
Inequivalent atoms, fractional coordinates:
Sr 0.0000 0.0000 0.0000
Li 0.0000 0.0000 0.8079
Zn 0.0000 0.0000 0.1987
Zn 0.0000 0.0000 0.5152

---

[6]
A relaxed structure of Sr2LiZn7, computed with PBE.

Energy of formation ... -0.204 eV per atom
Theoretical density ... 5.00 g/cm3
Final energy ... -16.2 eV/cell

Cell: 4.416 4.416 10.902 Å, 90.00 90.00 90.00°
Space group P-4m2 (No. 115)
Inequivalent atoms, fractional coordinates:
Sr 0.000 0.500 0.243
Li 0.000 0.000 0.500
Zn 0.000 0.000 0.000
Zn 0.000 0.500 0.634
Zn 0.000 0.500 0.872
Zn 0.500 0.500 0.000
Zn 0.500 0.500 0.500

---

[7]
A relaxed structure of Sr2Li5Zn4, computed with PBE.

Energy of formation ... -0.101 eV per atom
Theoretical density ... 3.00 g/cm3
Final energy ... -38.3 eV/cell

Cell: 13.556 5.700 8.510 Å, 90.00 127.50 90.00°
Space group C2/m (No. 12)
Inequivalent atoms, fractional coordinates:
Sr 0.220 0.000 0.282
Li 0.000 0.500 0.000
Li 0.045 0.254 0.747
Zn 0.119 0.000 0.564
Zn 0.229 0.500 0.059

---

[8]
A relaxed structure of SrLiZn3, computed with PBE.

Energy of formation ... 0.691 eV per atom
Energy relative to the lowest polymorph listed for this composition ... 19.807 kcal/mol of atoms
Theoretical density ... 2.24 g/cm3
Final energy ... -4.0 eV/cell

Cell: 5.999 5.999 5.999 Å, 90.00 90.00 90.00°
Space group Pm-3m (No. 221)
Inequivalent atoms, fractional coordinates:
Sr 0.000 0.000 0.000
Li 0.500 0.500 0.500
Zn 0.000 0.000 0.500

---

[9]
A relaxed structure of Sr12LiZn6, computed with PBE.

Energy of formation ... -0.105 eV per atom
Theoretical density ... 3.23 g/cm3
Final energy ... -63.5 eV/cell

Cell: 11.425 11.425 11.425 Å, 90.00 90.00 90.00°
Space group Im-3 (No. 204)
Inequivalent atoms, fractional coordinates:
Sr 0.000 0.188 0.300
Li 0.000 0.000 0.000
Zn 0.000 0.387 0.500

---

[10]
A relaxed structure of SrLiZn3, computed with PBE.

Energy of formation ... -0.102 eV per atom
Energy relative to the lowest polymorph listed for this composition ... 1.519 kcal/mol of atoms
Theoretical density ... 4.42 g/cm3
Final energy ... -15.9 eV/cell

Cell: 6.6381 6.6381 5.7305 Å, 90.00 90.00 120.00°
Space group P6_3/mmc (No. 194)
Inequivalent atoms, fractional coordinates:
Sr 0.3333 0.6667 0.2500
Li 0.0000 0.0000 0.0000
Zn 0.1968 0.3935 0.7500

---

[11]
A relaxed structure of SrLiZn2, computed with PBE.

Energy of formation ... -0.079 eV per atom
Energy relative to the lowest polymorph listed for this composition ... 2.339 kcal/mol of atoms
Theoretical density ... 3.90 g/cm3
Final energy ... -12.9 eV/cell

Cell: 4.103 5.420 8.620 Å, 90.00 90.00 90.00°
Space group Imm2 (No. 44)
Inequivalent atoms, fractional coordinates:
Sr 0.000 0.000 0.000
Li 0.000 0.500 0.196
Zn 0.000 0.000 0.468
Zn 0.000 0.500 0.791

---

[12]
A relaxed structure of Sr2LiZr, computed with PBE.

Energy of formation ... 0.558 eV per atom
Energy relative to the lowest polymorph listed for this composition ... 4.241 kcal/mol of atoms
Theoretical density ... 3.21 g/cm3
Final energy ... -11.6 eV/cell

Cell: 6.341 3.561 7.026 Å, 90.00 116.76 90.00°
Space group P2/m (No. 10)
Inequivalent atoms, fractional coordinates:
Sr 0.000 0.000 0.000
Sr 0.000 0.500 0.500
Li 0.500 0.000 0.500
Zr 0.500 0.500 0.000

---

> final energy of number 9 (Sr12LiZn6)?

-63.5 eV/cell